[1]
Computed, not measured: a geometry-optimized ErCo12Ge6 structure at the GGA-PBE level of DFT.

Properties
Crystal system = trigonal
DOS at the Fermi energy = 24.558 states/eV/cell
E = -6.24 eV per atom

Cell lengths 6.660, 6.660, 6.660 Å; angles 105.23, 105.23, 105.23 degrees
Last column: magnetic moment on the atom in μB.
Fractional coordinates of all 19 atoms:
Er 0.000 0.000 0.000  -0.14
Co 0.877 0.123 0.500  0.24
Co 0.820 0.574 0.574  1.10
Co 0.574 0.574 0.820  1.10
Co 0.426 0.180 0.426  1.10
Co 0.426 0.426 0.180  1.10
Co 0.180 0.426 0.426  1.10
Co 0.123 0.500 0.877  0.24
Co 0.500 0.877 0.123  0.24
Co 0.123 0.877 0.500  0.24
Co 0.877 0.500 0.123  0.24
Co 0.500 0.123 0.877  0.24
Co 0.574 0.820 0.574  1.10
Ge 0.707 0.250 0.250  -0.04
Ge 0.250 0.250 0.707  -0.04
Ge 0.250 0.707 0.250  -0.04
Ge 0.750 0.750 0.293  -0.04
Ge 0.293 0.750 0.750  -0.04
Ge 0.750 0.293 0.750  -0.04

***

[2]
Computed, not measured: a geometry-optimized Er3Co3Ge8 structure at the GGA-PBE level of DFT.

Properties
Crystal system = monoclinic
DOS at the Fermi energy = 8.254 states/eV/cell
E = -5.57 eV per atom

Cell lengths 3.949, 9.187, 9.488 Å; angles 48.87, 77.99, 77.59 degrees
Fractional coordinates of all 14 atoms:
Er 0.251 0.805 0.693
Er 0.749 0.195 0.307
Er 0.000 0.000 0.000
Co 0.000 0.500 0.500
Co 0.654 0.681 0.012
Co 0.346 0.319 0.988
Ge 0.121 0.227 0.531
Ge 0.879 0.773 0.469
Ge 0.811 0.493 0.886
Ge 0.189 0.507 0.114
Ge 0.541 0.619 0.298
Ge 0.459 0.381 0.702
Ge 0.378 0.993 0.252
Ge 0.622 0.007 0.748

***

[3]
Computed, not measured: a geometry-optimized ErCo3Ge3 structure at the GGA-PBE level of DFT.

Properties
Excess energy over the best structure of this formula in the dataset = 379 meV/atom
Crystal system = cubic
DOS at the Fermi energy = 15.795 states/eV/cell

Cell lengths 6.351, 6.351, 6.351 Å; angles 90.00, 90.00, 90.00 degrees
Fractional coordinates of all 14 atoms:
Ge 0.000 0.250 0.500
Ge 0.000 0.750 0.500
Ge 0.500 0.000 0.750
Ge 0.750 0.500 0.000
Ge 0.500 0.000 0.250
Ge 0.250 0.500 0.000
Co 0.250 0.000 0.500
Co 0.000 0.500 0.250
Co 0.500 0.750 0.000
Co 0.750 0.000 0.500
Co 0.000 0.500 0.750
Co 0.500 0.250 0.000
Er 0.500 0.500 0.500
Er 0.000 0.000 0.000

***

[4]
Computed, not measured: a geometry-optimized ErCo5Ge2 structure at the GGA-PBE level of DFT.

Properties
Crystal system = orthorhombic
DOS at the Fermi energy = 10.015 states/eV/cell
E = -6.41 eV per atom

Cell lengths 3.614, 5.965, 5.965 Å; angles 67.42, 72.36, 72.36 degrees
Last column: magnetic moment on the atom in μB.
Fractional coordinates of all 8 atoms:
Er 0.000 0.000 0.000  -0.12
Co 0.000 0.500 0.500  0.96
Co 0.634 0.552 0.180  0.73
Co 0.366 0.448 0.820  0.73
Co 0.366 0.820 0.448  0.73
Co 0.634 0.180 0.552  0.73
Ge 0.749 0.751 0.751  -0.06
Ge 0.251 0.249 0.249  -0.06

***

[5]
Computed, not measured: a geometry-optimized ErCo3Ge3 structure at the GGA-PBE level of DFT.

Properties
Excess energy over the best structure of this formula in the dataset = 0 meV/atom
Crystal system = hexagonal
DOS at the Fermi energy = 7.946 states/eV/cell

Cell lengths 4.035, 8.080, 8.080 Å; angles 120.00, 90.00, 90.00 degrees
Fractional coordinates of all 14 atoms:
Er 0.250 0.667 0.333
Er 0.750 0.333 0.667
Co 0.750 0.144 0.937
Co 0.750 0.792 0.856
Co 0.250 0.937 0.792
Co 0.750 0.063 0.208
Co 0.250 0.208 0.144
Co 0.250 0.856 0.063
Ge 0.750 0.383 0.279
Ge 0.750 0.896 0.617
Ge 0.250 0.279 0.896
Ge 0.750 0.721 0.104
Ge 0.250 0.104 0.383
Ge 0.250 0.617 0.721

***

[6]
Computed, not measured: a geometry-optimized ErCo4Ge4 structure at the GGA-PBE level of DFT.

Properties
Crystal system = tetragonal
DOS at the Fermi energy = 13.091 states/eV/cell
E = -6.02 eV per atom

Cell lengths 5.761, 5.761, 7.948 Å; angles 90.00, 90.00, 90.00 degrees
Fractional coordinates of all 18 atoms:
Er 0.000 0.000 0.000
Er 0.500 0.500 0.500
Co 0.225 0.500 0.890
Co 0.775 0.500 0.890
Co 0.500 0.775 0.110
Co 0.500 0.225 0.110
Co 0.000 0.725 0.390
Co 0.000 0.275 0.390
Co 0.275 0.000 0.610
Co 0.725 0.000 0.610
Ge 0.500 0.783 0.816
Ge 0.500 0.217 0.816
Ge 0.783 0.500 0.184
Ge 0.217 0.500 0.184
Ge 0.283 0.000 0.316
Ge 0.717 0.000 0.316
Ge 0.000 0.283 0.684
Ge 0.000 0.717 0.684

***

[7]
Computed, not measured: a geometry-optimized Er12Co6Ge structure at the GGA-PBE level of DFT.

Properties
Crystal system = cubic
DOS at the Fermi energy = 9.153 states/eV/cell
E = -5.66 eV per atom

Cell lengths 8.224, 8.224, 8.224 Å; angles 109.47, 109.47, 109.47 degrees
Fractional coordinates of all 19 atoms:
Er 0.300 0.106 0.806
Er 0.300 0.494 0.194
Er 0.700 0.506 0.806
Er 0.700 0.894 0.194
Er 0.106 0.806 0.300
Er 0.494 0.194 0.300
Er 0.506 0.806 0.700
Er 0.894 0.194 0.700
Er 0.806 0.300 0.106
Er 0.194 0.300 0.494
Er 0.806 0.700 0.506
Er 0.194 0.700 0.894
Co 0.386 0.500 0.886
Co 0.614 0.500 0.114
Co 0.500 0.886 0.386
Co 0.500 0.114 0.614
Co 0.886 0.386 0.500
Co 0.114 0.614 0.500
Ge 0.000 0.000 0.000

***

[8]
Computed, not measured: a geometry-optimized Er6Co2Ge structure at the GGA-PBE level of DFT.

Properties
Crystal system = orthorhombic
DOS at the Fermi energy = 12.724 states/eV/cell
E = -5.49 eV per atom

Cell lengths 8.180, 8.180, 8.180 Å; angles 107.17, 109.77, 111.50 degrees
Fractional coordinates of all 18 atoms:
Er 0.542 0.722 0.820
Er 0.458 0.278 0.180
Er 0.098 0.278 0.820
Er 0.902 0.722 0.180
Er 0.802 0.761 0.563
Er 0.198 0.239 0.437
Er 0.198 0.761 0.959
Er 0.802 0.239 0.041
Er 0.687 0.360 0.673
Er 0.313 0.640 0.327
Er 0.313 0.986 0.673
Er 0.687 0.014 0.327
Co 0.500 0.385 0.885
Co 0.500 0.615 0.115
Co 0.660 0.000 0.660
Co 0.340 0.000 0.340
Ge 0.000 0.500 0.500
Ge 0.000 0.000 0.000

***

[9]
Computed, not measured: a geometry-optimized ErCo6Ge4 structure at the GGA-PBE level of DFT.

Properties
Crystal system = hexagonal
DOS at the Fermi energy = 8.544 states/eV/cell
E = -6.34 eV per atom

Cell lengths 3.684, 6.783, 6.783 Å; angles 120.00, 90.00, 90.00 degrees
Fractional coordinates of all 11 atoms:
Er 0.000 0.000 0.000
Co 0.000 0.535 0.070
Co 0.500 0.589 0.795
Co 0.000 0.535 0.465
Co 0.000 0.930 0.465
Co 0.500 0.205 0.795
Co 0.500 0.205 0.411
Ge 0.500 0.806 0.611
Ge 0.500 0.389 0.194
Ge 0.500 0.806 0.194
Ge 0.000 0.333 0.667

***

[10]
Computed, not measured: a geometry-optimized Er3CoGe3 structure at the GGA-PBE level of DFT.

Properties
Crystal system = monoclinic
DOS at the Fermi energy = 8.498 states/eV/cell
E = -5.74 eV per atom

Cell lengths 4.184, 5.675, 12.970 Å; angles 84.63, 80.72, 68.37 degrees
Last column: magnetic moment on the atom in μB.
Fractional coordinates of all 14 atoms:
Er 0.528 0.327 0.618  0.00
Er 0.472 0.673 0.382  0.00
Er 0.256 0.259 0.230  -0.01
Er 0.744 0.741 0.770  -0.01
Er 0.403 0.275 0.919  0.00
Er 0.597 0.725 0.081  0.00
Co 0.755 0.076 0.414  0.25
Co 0.245 0.924 0.586  0.25
Ge 0.859 0.735 0.547  0.00
Ge 0.141 0.265 0.453  0.00
Ge 0.127 0.821 0.924  0.00
Ge 0.873 0.179 0.076  0.00
Ge 0.955 0.847 0.243  0.00
Ge 0.045 0.153 0.757  0.00

***

[11]
Computed, not measured: a geometry-optimized ErCo2Ge3 structure at the GGA-PBE level of DFT.

Properties
Excess energy over the best structure of this formula in the dataset = 0 meV/atom
Crystal system = monoclinic
DOS at the Fermi energy = 7.574 states/eV/cell

Cell lengths 3.896, 8.070, 9.553 Å; angles 103.67, 90.00, 103.97 degrees
Fractional coordinates of all 18 atoms:
Er 0.149 0.297 0.696
Er 0.851 0.703 0.304
Er 0.000 0.000 0.000
Co 0.207 0.414 0.083
Co 0.793 0.586 0.917
Co 0.496 0.992 0.236
Co 0.504 0.008 0.764
Co 0.357 0.713 0.563
Co 0.643 0.287 0.437
Ge 0.053 0.105 0.352
Ge 0.947 0.895 0.648
Ge 0.229 0.457 0.374
Ge 0.771 0.543 0.626
Ge 0.640 0.279 0.182
Ge 0.360 0.721 0.818
Ge 0.500 0.000 0.500
Ge 0.357 0.714 0.081
Ge 0.643 0.286 0.919

***

[12]
Computed, not measured: a geometry-optimized ErCo2Ge2 structure at the GGA-PBE level of DFT.

Properties
Crystal system = tetragonal
DOS at the Fermi energy = 3.108 states/eV/cell
E = -6.21 eV per atom

Cell lengths 3.934, 3.934, 5.772 Å; angles 109.90, 109.90, 90.05 degrees
Fractional coordinates of all 5 atoms:
Ge 0.627 0.627 0.253
Ge 0.373 0.373 0.747
Co 0.750 0.250 0.500
Co 0.250 0.750 0.500
Er 0.000 0.000 0.000

***

[13]
Computed, not measured: a geometry-optimized Er5Co2Ge structure at the GGA-PBE level of DFT.

Properties
Crystal system = tetragonal
DOS at the Fermi energy = 18.981 states/eV/cell
E = -5.59 eV per atom

Cell lengths 7.387, 7.387, 8.369 Å; angles 116.19, 116.19, 90.00 degrees
Fractional coordinates of all 16 atoms:
Er 0.526 0.696 0.722
Er 0.804 0.974 0.278
Er 0.000 0.000 0.000
Er 0.500 0.500 0.000
Er 0.196 0.026 0.722
Er 0.696 0.196 0.722
Er 0.026 0.526 0.722
Er 0.304 0.804 0.278
Er 0.974 0.474 0.278
Er 0.474 0.304 0.278
Co 0.125 0.375 0.000
Co 0.625 0.125 0.000
Co 0.375 0.875 0.000
Co 0.875 0.625 0.000
Ge 0.750 0.750 0.500
Ge 0.250 0.250 0.500

***

[14]
Computed, not measured: a geometry-optimized ErCo5Ge3 structure at the GGA-PBE level of DFT.

Properties
Crystal system = orthorhombic
DOS at the Fermi energy = 18.104 states/eV/cell
E = -6.29 eV per atom

Cell lengths 3.827, 6.407, 11.042 Å; angles 90.00, 90.00, 107.38 degrees
Last column: magnetic moment on the atom in μB.
Fractional coordinates of all 18 atoms:
Er 0.804 0.607 0.750  -0.06
Er 0.196 0.393 0.250  -0.06
Co 0.810 0.620 0.438  0.17
Co 0.190 0.380 0.938  0.17
Co 0.000 0.000 0.500  0.94
Co 0.000 0.000 0.000  0.94
Co 0.449 0.899 0.140  0.67
Co 0.551 0.101 0.860  0.67
Co 0.551 0.101 0.640  0.67
Co 0.810 0.620 0.062  0.17
Co 0.190 0.380 0.562  0.17
Co 0.449 0.899 0.360  0.67
Ge 0.375 0.751 0.945  -0.02
Ge 0.901 0.801 0.250  -0.01
Ge 0.375 0.751 0.555  -0.02
Ge 0.625 0.249 0.445  -0.02
Ge 0.099 0.199 0.750  -0.01
Ge 0.625 0.249 0.055  -0.02

***

[15]
Computed, not measured: a geometry-optimized ErCo6Ge12 structure at the GGA-PBE level of DFT.

Properties
Crystal system = trigonal
DOS at the Fermi energy = 16.335 states/eV/cell
E = -5.48 eV per atom

Cell lengths 7.001, 7.001, 7.001 Å; angles 105.85, 105.85, 105.85 degrees
Fractional coordinates of all 19 atoms:
Er 0.000 0.000 0.000
Co 0.704 0.284 0.284
Co 0.284 0.284 0.704
Co 0.284 0.704 0.284
Co 0.716 0.716 0.296
Co 0.296 0.716 0.716
Co 0.716 0.296 0.716
Ge 0.882 0.118 0.500
Ge 0.859 0.603 0.603
Ge 0.603 0.603 0.859
Ge 0.397 0.141 0.397
Ge 0.397 0.397 0.141
Ge 0.141 0.397 0.397
Ge 0.118 0.500 0.882
Ge 0.500 0.882 0.118
Ge 0.118 0.882 0.500
Ge 0.882 0.500 0.118
Ge 0.500 0.118 0.882
Ge 0.603 0.859 0.603

***

[16]
Computed, not measured: a geometry-optimized Er3CoGe2 structure at the GGA-PBE level of DFT.

Properties
Crystal system = orthorhombic
DOS at the Fermi energy = 15.641 states/eV/cell
E = -5.74 eV per atom

Cell lengths 4.102, 11.041, 11.425 Å; angles 90.00, 90.00, 90.00 degrees
Fractional coordinates of all 24 atoms:
Er 0.250 0.370 0.055
Er 0.750 0.630 0.945
Er 0.750 0.870 0.445
Er 0.250 0.130 0.555
Er 0.250 0.704 0.226
Er 0.750 0.296 0.774
Er 0.750 0.204 0.274
Er 0.250 0.796 0.726
Er 0.250 0.446 0.379
Er 0.750 0.554 0.621
Er 0.750 0.946 0.121
Er 0.250 0.054 0.879
Co 0.250 0.132 0.131
Co 0.750 0.868 0.869
Co 0.750 0.632 0.369
Co 0.250 0.368 0.631
Ge 0.250 0.685 0.485
Ge 0.750 0.315 0.515
Ge 0.750 0.185 0.015
Ge 0.250 0.815 0.985
Ge 0.250 0.004 0.308
Ge 0.750 0.996 0.692
Ge 0.750 0.504 0.192
Ge 0.250 0.496 0.808

***

[17]
Computed, not measured: a geometry-optimized Er3CoGe structure at the GGA-PBE level of DFT.

Properties
Crystal system = monoclinic
DOS at the Fermi energy = 7.920 states/eV/cell
E = -5.50 eV per atom

Cell lengths 3.723, 7.889, 8.153 Å; angles 92.91, 90.00, 103.63 degrees
Fractional coordinates of all 10 atoms:
Er 0.073 0.180 0.402
Er 0.417 0.867 0.659
Er 0.627 0.287 0.762
Er 0.971 0.975 0.020
Er 0.272 0.576 0.013
Er 0.772 0.578 0.409
Co 0.233 0.499 0.651
Co 0.811 0.655 0.770
Ge 0.412 0.856 0.288
Ge 0.633 0.298 0.134

***

[18]
Computed, not measured: a geometry-optimized Er2Co2Ge structure at the GGA-PBE level of DFT.

Properties
Crystal system = monoclinic
DOS at the Fermi energy = 9.240 states/eV/cell
E = -6.10 eV per atom

Cell lengths 5.325, 5.317, 7.420 Å; angles 101.62, 90.00, 120.05 degrees
Fractional coordinates of all 10 atoms:
Er 0.503 0.296 0.147
Er 0.208 0.704 0.353
Er 0.497 0.704 0.853
Er 0.792 0.296 0.647
Co 0.721 0.723 0.498
Co 0.998 0.277 0.002
Co 0.279 0.277 0.502
Co 0.002 0.723 0.998
Ge 0.867 0.000 0.250
Ge 0.133 0.000 0.750